1.
A relaxed structure of LiLaPt, computed with PBE-GGA.

Distance to the lowest polymorph of the same formula in meV per atom: 224

Unit cell a=5.288 b=5.288 c=5.288 alpha=136.88 beta=136.88 gamma=62.62
Sites, in units of the cell vectors:
Li (0.000, 0.000, 0.000)
La (0.313, 0.313, 0.000)
Pt (0.679, 0.679, 0.000)

---

2.
A relaxed structure of Ti8VSn2, computed with PBE-GGA.

Unit cell a=7.658 b=7.658 c=7.658 alpha=144.07 beta=131.55 gamma=61.77
Sites, in units of the cell vectors:
Ti (0.147, 0.371, 0.775)
Ti (0.166, 0.166, 0.000)
Ti (0.264, 0.000, 0.264)
Ti (0.404, 0.629, 0.775)
Ti (0.596, 0.371, 0.225)
Ti (0.736, 0.000, 0.736)
Ti (0.834, 0.834, 0.000)
Ti (0.853, 0.629, 0.225)
V (0.000, 0.500, 0.500)
Sn (0.308, 0.808, 0.500)
Sn (0.692, 0.192, 0.500)

---

Final energy / eV/atom: -4.92; -7.45